11
Lattice="-1.8959 2.0791 -6.4227 -1.9945 -6.6866 -1.5753 -5.4860 0.6174 4.3234" Properties=species:S:1:pos:R:3 comment="Pm7Tl2Ni2 | Alexandria | PBE | relaxed" n_ef_per_ev_cell=10.4 spacegroup="No. 65" formation_energy_kj_per_mol_atoms=-15.7 e_tot_ev_per_fu=-51.34 crystal_system=orthorhombic pbc="T T T"
Pm -4.2476 -4.7403 0.9694
Pm -5.2186 -3.7755 -2.2592
Pm -7.9395 -3.3917 -0.0806
Pm -5.1287 0.7502 -4.6440
Pm -1.4369 -0.5983 -3.5940
Pm 0.0000 0.0000 0.0000
Pm -4.1578 -0.2146 -1.4154
Tl -2.3155 -2.8618 -1.1625
Tl -7.0609 -1.1283 -2.5121
Ni -4.9484 -5.0381 -4.8309
Ni -4.4280 1.0480 1.1563